Here is an optimized crystal structure of NbZnRh5 from Alexandria. Energies are from PBE-GGA.

Properties
Formation energy from the elements: -0.1952 eV per atom
N(E_F): 6.75 states/eV/cell

Lattice parameters (Å, degrees): 4.015 4.015 6.705 90.00 90.00 90.00
Space group P4/mmm (No. 123)
One atom of each set of equivalent atoms:
1 Nb 0.000 0.000 0.000 (multiplicity 1)
2 Zn 0.500 0.500 0.500 (multiplicity 1)
3 Rh 0.000 0.500 0.271 (multiplicity 4)
4 Rh 0.500 0.500 0.000 (multiplicity 1)